TeAsPtO | the Open Quantum Materials Database | PBE | relaxed; calculated volume = 17.4 Å³ per atom; energy relative to the lowest polymorph listed for this composition = 94 meV per atom
1.0
3.8719 0.0000 0.0000
0.0000 3.8719 0.0000
0.0000 0.0000 9.2978
Te As Pt O
2 2 2 2
Direct
0.2500 0.2500 0.1404 Te
0.7500 0.7500 0.8596 Te
0.2500 0.2500 0.6842 As
0.7500 0.7500 0.3158 As
0.2500 0.7500 0.5000 Pt
0.7500 0.2500 0.5000 Pt
0.2500 0.7500 0.0000 O
0.7500 0.2500 0.0000 O